The following is a DFT calculation (PBE-GGA) of CrNiIr3 after structural relaxation.

It has space group Pm-3m (No. 221), with a = 4.441 Å, b = 4.441 Å, c = 4.441 Å, α = 90.00°, β = 90.00° and γ = 90.00°. The asymmetric unit holds Cr at (0.000, 0.000, 0.000), Ni at (0.500, 0.500, 0.500) and Ir at (0.000, 0.000, 0.500).

For the distance to the lowest polymorph of the same formula, the calculation gives 1594 meV per atom.

The following is a DFT calculation (PBE-GGA) of CrNi8Ir2 after structural relaxation.

It has space group C2/m (No. 12), with a = 12.908 Å, b = 3.612 Å, c = 5.728 Å, α = 90.00°, β = 106.07° and γ = 90.00°. The asymmetric unit holds Cr at (0.000, 0.000, 0.000), Ni at (0.045, 0.500, 0.732), Ni at (0.087, 0.000, 0.446), Ni at (0.132, 0.500, 0.178), Ni at (0.179, 0.000, 0.913) and Ir at (0.225, 0.500, 0.639).

As for the calculated total energy: -147.137 eV for the cell shown.

The following is a DFT calculation (PBE-GGA) of Cr6NiIr5 after structural relaxation.

It has space group Immm (No. 71), with a = 3.743 Å, b = 7.370 Å, c = 11.371 Å, α = 90.00°, β = 90.00° and γ = 90.00°. The asymmetric unit holds Cr at (0.000, 0.248, 0.000), Cr at (0.000, 0.252, 0.336), Ni at (0.000, 0.500, 0.500), Ir at (0.000, 0.000, 0.160), Ir at (0.000, 0.000, 0.500) and Ir at (0.000, 0.500, 0.170).

As for the calculated total energy: -219.390 eV for the cell shown.

The following is a DFT calculation (PBE-GGA) of CrNiIr3 after structural relaxation.

It has space group Pm-3m (No. 221), with a = 4.398 Å, b = 4.398 Å, c = 4.398 Å, α = 90.00°, β = 90.00° and γ = 90.00°. The asymmetric unit holds Cr at (0.000, 0.000, 0.000), Ni at (0.500, 0.500, 0.500) and Ir at (0.000, 0.500, 0.500).

For the distance to the lowest polymorph of the same formula, the calculation gives 1835 meV per atom.

The following is a DFT calculation (PBE-GGA) of Cr3NiIr after structural relaxation.

It has space group Pm-3m (No. 221), with a = 4.318 Å, b = 4.318 Å, c = 4.318 Å, α = 90.00°, β = 90.00° and γ = 90.00°. The asymmetric unit holds Cr at (0.000, 0.000, 0.500), Ni at (0.000, 0.000, 0.000) and Ir at (0.500, 0.500, 0.500).

For the distance to the lowest polymorph of the same formula, the calculation gives 0 meV per atom.

The following is a DFT calculation (PBE-GGA) of Cr2Ni3Ir2 after structural relaxation.

It has space group C2/m (No. 12), with a = 12.074 Å, b = 2.590 Å, c = 6.321 Å, α = 90.00°, β = 119.11° and γ = 90.00°. The asymmetric unit holds Cr at (0.141, 0.000, 0.334), Ni at (0.000, 0.500, 0.500), Ni at (0.068, 0.500, 0.923) and Ir at (0.202, 0.000, 0.770).

As for the calculated total energy: -108.097 eV for the cell shown.

The following is a DFT calculation (PBE-GGA) of Cr2Ni4Ir after structural relaxation.

It has space group I4/mmm (No. 139), with a = 4.460 Å, b = 4.460 Å, c = 12.065 Å, α = 90.00°, β = 90.00° and γ = 90.00°. The asymmetric unit holds Cr at (0.000, 0.000, 0.114), Ni at (0.000, 0.000, 0.302), Ni at (0.000, 0.500, 0.000) and Ir at (0.000, 0.000, 0.500).

For the distance to the lowest polymorph of the same formula, the calculation gives 1090 meV per atom.

The following is a DFT calculation (PBE-GGA) of CrNi3Ir after structural relaxation.

It has space group C2/m (No. 12), with a = 5.255 Å, b = 7.949 Å, c = 4.604 Å, α = 90.00°, β = 122.98° and γ = 90.00°. The asymmetric unit holds Cr at (0.000, 0.000, 0.000), Ni at (0.000, 0.500, 0.000), Ni at (0.250, 0.250, 0.000) and Ir at (0.000, 0.000, 0.500).

For the distance to the lowest polymorph of the same formula, the calculation gives 873 meV per atom.

The following is a DFT calculation (PBE-GGA) of Cr2NiIr2 after structural relaxation.

It has space group P4/mbm (No. 127), with a = 7.177 Å, b = 7.177 Å, c = 2.671 Å, α = 90.00°, β = 90.00° and γ = 90.00°. The asymmetric unit holds Cr at (0.164, 0.336, 0.000), Ni at (0.000, 0.000, 0.500) and Ir at (0.133, 0.633, 0.500).

For the distance to the lowest polymorph of the same formula, the calculation gives 210 meV per atom.

The following is a DFT calculation (PBE-GGA) of Cr2NiIr9 after structural relaxation.

It has space group P4/mmm (No. 123), with a = 3.812 Å, b = 3.812 Å, c = 11.471 Å, α = 90.00°, β = 90.00° and γ = 90.00°. The asymmetric unit holds Cr at (0.000, 0.000, 0.172), Ni at (0.000, 0.000, 0.500), Ir at (0.000, 0.500, 0.000), Ir at (0.000, 0.500, 0.330), Ir at (0.500, 0.500, 0.166) and Ir at (0.500, 0.500, 0.500).

As for the calculated total energy: -106.451 eV for the cell shown.

The following is a DFT calculation (PBE-GGA) of Cr2Ni4Ir after structural relaxation.

It has space group P2_1/m (No. 11), with a = 6.153 Å, b = 4.498 Å, c = 6.760 Å, α = 90.00°, β = 116.81° and γ = 90.00°. The asymmetric unit holds Cr at (0.105, 0.250, 0.054), Cr at (0.288, 0.250, 0.501), Ni at (0.115, 0.502, 0.720), Ni at (0.465, 0.750, 0.069), Ni at (0.471, 0.750, 0.718) and Ir at (0.265, 0.750, 0.308).

For the distance to the lowest polymorph of the same formula, the calculation gives 0 meV per atom.

The following is a DFT calculation (PBE-GGA) of Cr2NiIr5 after structural relaxation.

It has space group Immm (No. 71), with a = 5.386 Å, b = 5.405 Å, c = 7.541 Å, α = 90.00°, β = 90.00° and γ = 90.00°. The asymmetric unit holds Cr at (0.000, 0.000, 0.000), Cr at (0.000, 0.500, 0.500), Ni at (0.000, 0.000, 0.500), Ir at (0.000, 0.500, 0.000) and Ir at (0.250, 0.250, 0.250).

As for the calculated total energy: -140.311 eV for the cell shown.

Ρ per entry: 13.03 11.72 14.10 13.42 8.39 12.78 7.35 8.65 13.21 18.86 10.56 17.00 Mg/m³